Computed, not measured: a relaxed PmPr5Dy crystal at the GGA-PBE level of DFT.

Computed properties:
As for the space-group type: C2/m (12). The value obtained for the spin magnetization is 0.04 μB per cell.

Cell and atoms, written as POSCAR:
```
PmPr5Dy
1.0
5.6018 -0.0027 2.0489
2.1831 7.3290 2.6960
0.2086 0.5732 8.0856
Pm Pr Dy
1 5 1
direct
0.0000 0.0000 0.0000
0.7509 0.2493 0.2493
0.0000 0.3235 0.6765
0.5000 0.0000 0.0000
0.0000 0.6765 0.3235
0.2491 0.7507 0.7507
0.5000 0.5000 0.5000
```

Computed, not measured: a relaxed Pm5Pr2Dy2 crystal at the GGA-PBE level of DFT.

Computed properties:
The calculation puts the distance to the lowest polymorph of the same formula at 0 meV per atom. As for the space-group type: C2/m (12). The value obtained for the spin magnetization is 0.00 μB per cell.

Cell and atoms, written as POSCAR:
```
Pm5Pr2Dy2
1.0
6.6795 -4.9505 -5.4759
8.8471 -3.1650 -3.2896
-1.3459 -6.2028 6.4003
Pm Pr Dy
5 2 2
direct
0.7654 0.7654 0.3313
0.2346 0.2346 0.6687
0.8998 0.8998 0.6445
0.1002 0.1002 0.3555
0.0000 0.0000 0.0000
0.5698 0.5698 0.6944
0.4302 0.4302 0.3056
0.8234 0.8234 0.9832
0.1766 0.1766 0.0168
```

Computed, not measured: a relaxed Pm4PrDy7 crystal at the GGA-PBE level of DFT.

Computed properties:
The calculation puts the distance to the lowest polymorph of the same formula at 170 meV per atom. As for the space-group type: C2/m (12). The value obtained for the spin magnetization is 0.00 μB per cell.

Cell and atoms, written as POSCAR:
```
Pm4PrDy7
1.0
5.9410 0.0000 0.0000
2.9705 11.2822 -0.2862
2.9705 0.1956 6.0781
Pm Pr Dy
4 1 7
direct
0.6350 0.2236 0.5065
0.3650 0.7764 0.4935
0.7667 0.6731 0.7936
0.2333 0.3269 0.2064
0.0000 0.0000 0.0000
0.7893 0.9225 0.4989
0.2107 0.0775 0.5011
0.0657 0.6785 0.1901
0.9343 0.3215 0.8099
0.3681 0.4982 0.7656
0.5000 0.0000 0.0000
0.6319 0.5018 0.2344
```

Computed, not measured: a relaxed Pm7Pr2Dy4 crystal at the GGA-PBE level of DFT.

Computed properties:
As for the space-group type: P-1 (2). The value obtained for the spin magnetization is 0.00 μB per cell.

Cell and atoms, written as POSCAR:
```
Pm7Pr2Dy4
1.0
7.2404 3.6445 -0.2989
-0.3082 9.5940 -0.1872
-0.3574 -0.5686 6.2307
Pm Pr Dy
7 2 4
direct
0.8448 0.6945 0.9244
0.1552 0.3055 0.0756
0.0000 0.0000 0.0000
0.5380 0.0769 0.7682
0.4620 0.9231 0.2318
0.7704 0.5385 0.3860
0.2296 0.4615 0.6140
0.6927 0.3840 0.8441
0.3073 0.6160 0.1559
0.0765 0.1517 0.5372
0.9235 0.8483 0.4628
0.6177 0.2278 0.3069
0.3823 0.7722 0.6931
```

Table of final energy (eV per atom), in record order: -3.811 -4.626 -4.412 -4.694
Table of DOS(E_F) (states/eV per cell), in record order: 13.82 14.24 19.43 18.74
Table of formation energy (meV per atom), in record order: 939 98 254 15